# 1
A relaxed structure of TiZn2Co. Source: Alexandria via LeMat-Bulk, functional PBE.

Cell: 4.2224 3.5939 3.5939 Å, 90.00 90.00 90.00°
Last column: nearest neighbours and their distance in Å.
Atoms (fractional coordinates):
Zn1 0.0000 0.0000 0.5000  4 Zn 2.54, 4 Ti 2.77, 4 Co 2.77
Zn2 0.0000 0.5000 0.0000  4 Zn 2.54, 4 Ti 2.77, 4 Co 2.77
Co1 0.5000 0.5000 0.5000  4 Ti 2.54, 8 Zn 2.77
Ti1 0.5000 0.0000 0.0000  4 Co 2.54, 8 Zn 2.77

Summary:
Its formation enthalpy at 0 K is -0.60 eV/f.u. The crystal system is tetragonal. The calculation puts the excess energy over the best structure of this formula in the dataset at 0.0537 eV per atom.

# 2
A relaxed structure of Zr2FeSb. Source: Alexandria via LeMat-Bulk, functional PBE.

Cell: 3.1780 3.1780 7.9196 Å, 90.00 90.00 99.13°
Last column: nearest neighbours and their distance in Å.
Atoms (fractional coordinates):
Fe1 0.5000 0.5000 0.2500  8 Zr 2.62-2.91
Sb1 0.5000 0.5000 0.7500  8 Zr 3.12-3.37, 4 Sb 3.18
Zr1 0.0000 0.0000 0.0457  4 Fe 2.62-2.91
Zr2 0.0000 0.0000 0.4543  4 Fe 2.62-2.91

Summary:
Its formation energy without anion corrections is -207 meV per atom. The crystal system is orthorhombic.

# 3
A relaxed structure of Ho2Zn4Ni5. Source: Alexandria via LeMat-Bulk, functional PBE.

Cell: 5.2807 5.0977 7.9593 Å, 80.11 70.63 58.81°
Last column: nearest neighbours and their distance in Å.
Atoms (fractional coordinates):
Ho1 0.8740 0.0000 0.2519  6 Zn 2.98-2.99, 10 Ni 3.16-3.25
Ho2 0.1260 0.0000 0.7481  6 Zn 2.98-2.99, 10 Ni 3.16-3.25
Zn1 0.4721 0.3150 0.7407  5 Ni 2.38-2.49
Zn2 0.5279 0.6850 0.2593  5 Ni 2.38-2.49
Zn3 0.2128 0.3150 0.2593  5 Ni 2.38-2.49
Zn4 0.7872 0.6850 0.7407  5 Ni 2.38-2.49
Ni1 0.5000 0.0000 0.0000  4 Zn 2.38, 4 Ni 2.55
Ni2 0.0000 0.5000 0.0000  4 Zn 2.49, 4 Ni 2.55-2.64
Ni3 0.5000 0.5000 0.0000  4 Zn 2.49, 4 Ni 2.55-2.64
Ni4 0.2500 0.5000 0.5000  4 Zn 2.38, 2 Ni 2.64
Ni5 0.7500 0.5000 0.5000  4 Zn 2.38, 2 Ni 2.64

Summary:
Its formation enthalpy at 0 K is -3.45 eV/f.u. The crystal system is orthorhombic.

# 4
A relaxed structure of La3Tb2CeS6. Source: Alexandria via LeMat-Bulk, functional PBE.

Cell: 7.0117 7.0117 7.0635 Å, 99.57 99.57 120.08°
Last column: nearest neighbours and their distance in Å.
Atoms (fractional coordinates):
La1 0.1657 0.8343 0.5000  6 S 2.91-2.94
La2 0.8343 0.1657 0.5000  6 S 2.91-2.94
La3 0.5000 0.5000 0.5000  6 S 2.91-2.94
Tb1 0.3331 0.6669 0.0000  6 S 2.80
Tb2 0.6669 0.3331 0.0000  6 S 2.80
Ce1 0.0000 0.0000 0.0000  6 S 2.84
S1 0.9217 0.5835 0.7650  2 Tb 2.80, 1 Ce 2.84, 3 La 2.91-2.94
S2 0.7397 0.7397 0.2340  2 Tb 2.80, 1 Ce 2.84, 3 La 2.91-2.94
S3 0.0783 0.4165 0.2350  2 Tb 2.80, 1 Ce 2.84, 3 La 2.91-2.94
S4 0.5835 0.9217 0.7650  2 Tb 2.80, 1 Ce 2.84, 3 La 2.91-2.94
S5 0.2603 0.2603 0.7660  2 Tb 2.80, 1 Ce 2.84, 3 La 2.91-2.94
S6 0.4165 0.0783 0.2350  2 Tb 2.80, 1 Ce 2.84, 3 La 2.91-2.94

Summary:
Its formation energy without anion corrections is -2097 meV per atom. The crystal system is monoclinic.

# 5
A relaxed structure of TbDy4Tm8. Source: Alexandria via LeMat-Bulk, functional PBE.

Cell: 7.2107 7.2107 9.8260 Å, 90.00 111.53 120.00°
Last column: nearest neighbours and their distance in Å.
Atoms (fractional coordinates):
Tb1 0.0000 0.5000 0.5000  6 Tm 2.89
Dy1 0.0000 0.0000 0.0000  6 Tm 3.29, 6 Dy 3.61
Dy2 0.0000 0.5000 0.0000  6 Tm 3.51-3.74, 6 Dy 3.61
Dy3 0.5000 0.5000 0.0000  6 Tm 3.51-3.74, 6 Dy 3.61
Dy4 0.5000 0.0000 0.0000  6 Tm 3.51-3.74, 6 Dy 3.61
Tm1 0.5659 0.7830 0.3489  9 Tm 3.58-3.63, 3 Dy 3.74
Tm2 0.4341 0.2170 0.6511  9 Tm 3.58-3.63, 3 Dy 3.74
Tm3 0.4995 0.2497 0.3061  1 Tb 2.89, 2 Tm 3.19
Tm4 0.9436 0.1933 0.6939  1 Tb 2.89, 2 Tm 3.19
Tm5 0.5005 0.7503 0.6939  1 Tb 2.89, 2 Tm 3.19
Tm6 0.9436 0.7503 0.6939  1 Tb 2.89, 2 Tm 3.19
Tm7 0.0564 0.2497 0.3061  1 Tb 2.89, 2 Tm 3.19
Tm8 0.0564 0.8067 0.3061  1 Tb 2.89, 2 Tm 3.19

Summary:
Its formation enthalpy at 0 K is 2.96 eV/f.u. The crystal system is trigonal.

# 6
A relaxed structure of As2RuBrO. Source: Alexandria via LeMat-Bulk, functional PBE.

Cell: 4.0693 4.0693 5.4060 Å, 90.00 90.00 90.00°
Last column: nearest neighbours and their distance in Å.
Atoms (fractional coordinates):
Ru1 0.5000 0.5000 0.5000  4 Br 2.88
As1 0.0000 0.5000 0.0000  2 O 2.03
As2 0.5000 0.0000 0.0000  2 O 2.03
O1 0.0000 0.0000 0.0000  4 As 2.03
Br1 0.0000 0.0000 0.5000  2 O 2.70, 4 Ru 2.88

Summary:
Its formation energy without anion corrections is 686 meV per atom. The crystal system is tetragonal. The calculation puts the excess energy over the best structure of this formula in the dataset at 0.0000 eV per atom.

# 7
A relaxed structure of LuMgInNi. Source: Alexandria via LeMat-Bulk, functional PBE.

Cell: 4.8194 4.8194 4.8194 Å, 60.00 60.00 60.00°
Last column: nearest neighbours and their distance in Å.
Atoms (fractional coordinates):
Ni1 0.2500 0.2500 0.2500  4 Mg 2.95, 4 Lu 2.95
Mg1 0.5000 0.5000 0.5000  4 In 2.95, 4 Ni 2.95
Lu1 0.0000 0.0000 0.0000  4 In 2.95, 4 Ni 2.95
In1 0.7500 0.7500 0.7500  4 Mg 2.95, 4 Lu 2.95

Summary:
Its formation enthalpy at 0 K is -0.94 eV/f.u. The crystal system is cubic.

# 8
A relaxed structure of TbMgRu2. Source: Alexandria via LeMat-Bulk, functional PBE.

Cell: 3.3857 3.3857 6.2650 Å, 90.00 90.00 90.00°
Last column: nearest neighbours and their distance in Å.
Atoms (fractional coordinates):
Ru1 0.0000 0.0000 0.7854  1 Ru 2.69, 4 Mg 2.75, 4 Tb 2.99
Ru2 0.0000 0.0000 0.2146  1 Ru 2.69, 4 Mg 2.75, 4 Tb 2.99
Mg1 0.5000 0.5000 0.0000  8 Ru 2.75
Tb1 0.5000 0.5000 0.5000  8 Ru 2.99, 2 Mg 3.13

Summary:
Its formation enthalpy at 0 K is 0.00 eV/f.u. The crystal system is tetragonal.